VASP calculation (GGA-PBE) on a relaxed structure of AcGa2SiOs2.

Output
The space group is P4/mmm. The uncorrected formation energy is -0.1563 eV per atom. As for the volume: 20.0 Å³/atom. As for the density of states at the Fermi level: 3.9 states/eV per cell. The uncorrected energy comes out at -6.497 eV/atom.

Cell lengths 4.5035, 4.5035, 5.9261 Å; angles 90.00, 90.00, 90.00 degrees
Atoms (fractional coordinates):
Ac 0.0000 0.0000 0.5000
Ga 0.5000 0.5000 0.7376
Ga 0.5000 0.5000 0.2624
Si 0.0000 0.0000 0.0000
Os 0.5000 0.0000 0.0000
Os 0.0000 0.5000 0.0000